A plane-wave DFT calculation with PBE was carried out for crystalline Nd3Mg3Tl2Ga at its relaxed geometry.

Summary:
E ... -3.355 eV/atom
M_tot ... 0.0002 μB/atom

Cell and atoms, written as extended XYZ:
```
9
Lattice="7.721 0.000 0.000 -3.860 6.687 0.000 0.000 0.000 4.638" Properties=species:S:1:pos:R:3 pbc="T T T"
Nd -2.269 3.931 0.000
Nd 1.591 2.756 0.000
Nd 4.539 0.000 0.000
Mg -0.909 1.575 2.319
Mg 1.818 0.000 2.319
Mg 2.951 5.112 2.319
Tl 0.000 4.458 2.319
Tl 3.860 2.229 2.319
Ga 0.000 0.000 0.000
```



A plane-wave DFT calculation with PBE was carried out for crystalline MgTaCdIr at its relaxed geometry.

Summary:
Energy above the most stable polymorph in this dataset ... 1 kJ/mol of formula units
M_tot ... 0.0000 μB/atom

Cell and atoms, written as extended XYZ:
```
4
Lattice="0.000 3.235 3.235 3.235 0.000 3.235 3.235 3.235 0.000" Properties=species:S:1:pos:R:3 pbc="T T T"
Mg 0.000 0.000 0.000
Ta 1.618 1.618 1.618
Cd 4.853 4.853 4.853
Ir 3.235 3.235 3.235
```



A plane-wave DFT calculation with PBE was carried out for crystalline LuTlZnCo at its relaxed geometry.

Summary:
Energy above the most stable polymorph in this dataset ... 11 kJ/mol of formula units
M_tot ... 0.0641 μB/atom

Cell and atoms, written as extended XYZ:
```
4
Lattice="0.000 3.306 3.306 3.306 0.000 3.306 3.306 3.306 0.000" Properties=species:S:1:pos:R:3 pbc="T T T"
Lu 0.000 0.000 0.000
Tl 1.653 1.653 1.653
Zn 4.958 4.958 4.958
Co 3.306 3.306 3.306
```



A plane-wave DFT calculation with PBE was carried out for crystalline CoSbPb2 at its relaxed geometry.

Summary:
E ... -4.092 eV/atom
M_tot ... 0.2786 μB/atom

Cell and atoms, written as extended XYZ:
```
4
Lattice="0.000 3.641 3.641 3.641 0.000 3.641 3.641 3.641 0.000" Properties=species:S:1:pos:R:3 pbc="T T T"
Co 0.000 0.000 0.000
Sb 5.462 5.462 5.462
Pb 1.821 1.821 1.821
Pb 3.641 3.641 3.641
```



A plane-wave DFT calculation with PBE was carried out for crystalline ErTm2Mg3Pd2Au at its relaxed geometry.

Summary:
E ... -4.220 eV/atom
M_tot ... 0.0014 μB/atom

Cell and atoms, written as extended XYZ:
```
9
Lattice="4.090 0.000 0.000 0.000 6.403 3.692 0.000 -6.403 3.692" Properties=species:S:1:pos:R:3 pbc="T T T"
Er 0.000 0.000 0.000
Tm 0.000 -2.643 4.574
Tm 0.000 2.643 4.574
Mg 2.045 -1.609 2.125
Mg 2.045 1.609 2.125
Mg 2.045 0.000 4.903
Pd 2.045 -4.258 3.048
Pd 2.045 4.258 3.048
Au 0.000 0.000 3.057
```



A plane-wave DFT calculation with PBE was carried out for crystalline Nd2C at its relaxed geometry.

Summary:
E ... -6.360 eV/atom
M_tot ... 0.0033 μB/atom

Cell and atoms, written as extended XYZ:
```
3
Lattice="3.189 -1.845 0.000 3.189 1.845 0.000 -1.933 0.000 6.646" Properties=species:S:1:pos:R:3 pbc="T T T"
Nd 1.062 0.000 1.412
Nd 3.383 0.000 5.234
C 3.189 0.000 0.000
```